[1]
# Al2CuCl8 PBE relaxed
data_Al2CuCl8
_cell_length_a 7.272
_cell_length_b 7.596
_cell_length_c 12.945
_cell_angle_alpha 90.00
_cell_angle_beta 97.40
_cell_angle_gamma 90.00
_space_group_name_H-M_alt 'P 1 21/c 1'
_space_group_IT_number 14
_space_group_name_Hall '-P 2ybc'
loop_
_atom_site_label
_atom_site_fract_x
_atom_site_fract_y
_atom_site_fract_z
Al1 0.192 0.244 0.178
Cu1 0.000 0.000 0.500
Cl1 0.085 0.749 0.419
Cl2 0.160 0.221 0.838
Cl3 0.278 0.005 0.608
Cl4 0.359 0.033 0.143
# E_form (uncorrected): -13.65 eV/f.u.

[2]
# Ho2Zn5AgRh2 PBE relaxed
data_Ho2Zn5AgRh2
_cell_length_a 9.385
_cell_length_b 9.385
_cell_length_c 4.074
_cell_angle_alpha 90.00
_cell_angle_beta 90.00
_cell_angle_gamma 90.00
_space_group_name_H-M_alt 'P 4/m b m'
_space_group_IT_number 127
_space_group_name_Hall '-P 4 2ab'
loop_
_atom_site_label
_atom_site_fract_x
_atom_site_fract_y
_atom_site_fract_z
Ho1 0.178 0.322 0.000
Zn1 0.000 0.500 0.500
Zn2 0.059 0.796 0.500
Ag1 0.000 0.000 0.000
Rh1 0.120 0.620 0.000
# D(E_F): 11.4 states/eV/cell
# ΔH_f (0 K): -9.441 kcal/mol of atoms

[3]
# CsSbTeH3 PBE relaxed
data_CsSbTeH3
_cell_length_a 4.668
_cell_length_b 5.588
_cell_length_c 6.698
_cell_angle_alpha 89.51
_cell_angle_beta 83.89
_cell_angle_gamma 89.68
_space_group_name_H-M_alt 'P 1'
_space_group_IT_number 1
_space_group_name_Hall 'P 1'
loop_
_atom_site_label
_atom_site_fract_x
_atom_site_fract_y
_atom_site_fract_z
Cs1 0.000 0.000 0.000
Sb1 0.452 0.516 0.312
Te1 0.542 0.502 0.790
H1 0.168 0.510 0.810
H2 0.437 0.205 0.299
H3 0.831 0.501 0.270
# energy relative to the lowest polymorph listed for this composition: 0.1602 eV/atom
# D(E_F): 0.6 states/eV/cell

[4]
# PmEr3 PBE relaxed
data_PmEr3
_cell_length_a 3.624
_cell_length_b 11.271
_cell_length_c 6.245
_cell_angle_alpha 90.00
_cell_angle_beta 90.00
_cell_angle_gamma 90.00
_space_group_name_H-M_alt 'I m m 2'
_space_group_IT_number 44
_space_group_name_Hall 'I 2 -2'
loop_
_atom_site_label
_atom_site_fract_x
_atom_site_fract_y
_atom_site_fract_z
Pm1 0.000 0.000 0.000
Er1 0.000 0.248 0.336
Er2 0.000 0.500 0.003
# energy relative to the lowest polymorph listed for this composition: 0.0032 eV/atom
# D(E_F): 13.5 states/eV/cell
# ΔH_f (0 K): 0.264 kcal/mol of atoms

[5]
# Sr2LiAs4Au3 PBE relaxed
data_Sr2LiAs4Au3
_cell_length_a 4.434
_cell_length_b 4.434
_cell_length_c 11.342
_cell_angle_alpha 90.00
_cell_angle_beta 90.00
_cell_angle_gamma 90.00
_space_group_name_H-M_alt 'P -4 m 2'
_space_group_IT_number 115
_space_group_name_Hall 'P -4 -2'
loop_
_atom_site_label
_atom_site_fract_x
_atom_site_fract_y
_atom_site_fract_z
Sr1 0.000 0.500 0.243
Li1 0.500 0.500 0.000
As1 0.000 0.000 0.500
As2 0.000 0.500 0.866
As3 0.500 0.500 0.500
Au1 0.000 0.000 0.000
Au2 0.000 0.500 0.641
# D(E_F): 4.1 states/eV/cell
# ΔH_f (0 K): -14.579 kcal/mol of atoms

[6]
# LaTe2RuN PBE relaxed
data_LaTe2RuN
_cell_length_a 5.551
_cell_length_b 5.551
_cell_length_c 3.789
_cell_angle_alpha 90.00
_cell_angle_beta 90.00
_cell_angle_gamma 90.00
_space_group_name_H-M_alt 'P 4/m m m'
_space_group_IT_number 123
_space_group_name_Hall '-P 4 2'
loop_
_atom_site_label
_atom_site_fract_x
_atom_site_fract_y
_atom_site_fract_z
La1 0.000 0.000 0.000
Te1 0.000 0.500 0.500
Ru1 0.500 0.500 0.500
N1 0.500 0.500 0.000
# energy relative to the lowest polymorph listed for this composition: 0.0000 eV/atom
# D(E_F): 1.3 states/eV/cell
# E_form (uncorrected): -2.20 eV/f.u.

[7]
# Sc3AsPd PBE relaxed
data_Sc3AsPd
_cell_length_a 4.969
_cell_length_b 4.969
_cell_length_c 4.969
_cell_angle_alpha 90.00
_cell_angle_beta 90.00
_cell_angle_gamma 90.00
_space_group_name_H-M_alt 'P m -3 m'
_space_group_IT_number 221
_space_group_name_Hall '-P 4 2 3'
loop_
_atom_site_label
_atom_site_fract_x
_atom_site_fract_y
_atom_site_fract_z
Sc1 0.000 0.000 0.500
As1 0.000 0.000 0.000
Pd1 0.500 0.500 0.500
# energy relative to the lowest polymorph listed for this composition: 0.0000 eV/atom
# D(E_F): 5.2 states/eV/cell
# ΔH_f (0 K): -5.716 kcal/mol of atoms

[8]
# Pr6TlSn3 PBE relaxed
data_Pr6TlSn3
_cell_length_a 7.797
_cell_length_b 8.798
_cell_length_c 12.473
_cell_angle_alpha 90.00
_cell_angle_beta 126.14
_cell_angle_gamma 90.00
_space_group_name_H-M_alt 'P 1 21/c 1'
_space_group_IT_number 14
_space_group_name_Hall '-P 2ybc'
loop_
_atom_site_label
_atom_site_fract_x
_atom_site_fract_y
_atom_site_fract_z
Pr1 0.027 0.103 0.251
Pr2 0.217 0.681 0.062
Pr3 0.403 0.170 0.063
Tl1 0.500 0.000 0.500
Sn1 0.000 0.000 0.000
Sn2 0.305 0.119 0.750
# D(E_F): 20.3 states/eV/cell
# ΔH_f (0 K): -9.629 kcal/mol of atoms